No. 1
Computed, not measured: a geometry-optimized Tl2Sb3Te8 structure at the PBE level of DFT. Values from VASP.

Structure (Quantum ESPRESSO input):
```
&SYSTEM
  ibrav = 0, nat = 13, ntyp = 3
/
ATOMIC_SPECIES
Te 127.60 Te.upf
Sb 121.76 Sb.upf
Tl 204.38 Tl.upf
ATOMIC_POSITIONS angstrom
Te 3.5750 -3.2307 -0.8586
Te -3.3944 -0.9972 -5.6128
Sb 1.8221 -0.7107 -0.9757
Sb 5.5376 -2.1598 -2.9652
Te -4.1284 -3.4850 0.8900
Te 0.3832 -5.2446 -1.5258
Te 3.4937 -6.5206 1.3860
Sb -1.7101 0.3622 -3.4575
Te -0.2839 -2.2731 -2.7010
Te -3.4757 -4.2871 -3.3682
Tl 1.4147 -2.9418 -5.1033
Tl -1.3154 -4.5760 0.8766
Te 4.2277 -4.0328 -5.1168
CELL_PARAMETERS angstrom
-3.4202 0.7245 -6.9149
7.3597 -2.8705 -3.9409
-3.8402 -5.3718 6.6291
```

Computed properties:
- Space-group type: No. 12
- Formation energy without anion corrections: -0.023 eV per atom
- Total moment: 0.0 μB/cell
- Crystal system: monoclinic


No. 2
Computed, not measured: a geometry-optimized TlSb2Te structure at the PBE level of DFT. Values from VASP.

Structure (Quantum ESPRESSO input):
```
&SYSTEM
  ibrav = 0, nat = 4, ntyp = 3
/
ATOMIC_SPECIES
Sb 121.76 Sb.upf
Tl 204.38 Tl.upf
Te 127.60 Te.upf
ATOMIC_POSITIONS angstrom
Sb 0.0000 0.0000 0.0000
Tl -2.7734 -1.4355 -1.1848
Sb -3.6126 1.2900 0.5539
Te -1.9811 -0.8246 2.5596
CELL_PARAMETERS angstrom
-2.8203 1.9010 4.2983
-4.4048 0.6791 -3.1906
-1.1419 -3.5501 0.8209
```

Computed properties:
- Space-group type: No. 123
- Formation energy without anion corrections: 0.173 eV per atom
- Total moment: 0.0 μB/cell
- Crystal system: tetragonal


No. 3
Computed, not measured: a geometry-optimized TlSb2Te structure at the PBE level of DFT. Values from VASP.

Structure (Quantum ESPRESSO input):
```
&SYSTEM
  ibrav = 0, nat = 4, ntyp = 3
/
ATOMIC_SPECIES
Sb 121.76 Sb.upf
Tl 204.38 Tl.upf
Te 127.60 Te.upf
ATOMIC_POSITIONS angstrom
Sb 9.3115 5.5712 0.0000
Tl 1.7134 2.4293 1.6108
Sb 3.6617 -0.3008 1.5995
Te 5.0615 3.0284 0.0000
CELL_PARAMETERS angstrom
6.5337 0.0134 -0.0113
3.1008 5.7511 0.0113
-4.3381 -3.6831 3.2103
```

Computed properties:
- Space-group type: No. 44
- Formation energy without anion corrections: 0.084 eV per atom
- Total moment: 0.0 μB/cell
- Crystal system: orthorhombic